Record 1
# MgZn2Cr

MgZn2Cr at its PBEsol-relaxed geometry (SCAN, Alexandria via LeMat-Bulk).

Results
* energy relative to the elements: -34 meV/atom
* V: 60.52 Å³/cell
* DOS at the Fermi energy: 1.7 states/eV per cell
* total magnetic moment: 3.5 μB per formula unit

Unit cell a=3.142 b=3.142 c=6.129 alpha=90.00 beta=90.00 gamma=90.00
Positions (direct):
Mg (0.000, 0.000, 0.000)
Zn (0.500, 0.500, 0.280)
Zn (0.500, 0.500, 0.720)
Cr (0.000, 0.000, 0.500)


Record 2
# MgZn2Cr

MgZn2Cr at its PBEsol-relaxed geometry (SCAN, Alexandria via LeMat-Bulk).

Results
* energy relative to the elements: 165 meV/atom
* V: 55.64 Å³/cell
* DOS at the Fermi energy: 1.1 states/eV per cell
* total magnetic moment: 0.0 μB per formula unit

Unit cell a=4.645 b=4.645 c=2.703 alpha=90.00 beta=90.00 gamma=107.40
Positions (direct):
Mg (0.000, 0.000, 0.000)
Zn (0.000, 0.500, 0.500)
Zn (0.500, 0.000, 0.500)
Cr (0.500, 0.500, 0.000)